VASP calculation (PBE-GGA) on a geometry-optimized LiFe2Se structure.

Lattice parameters (Å, degrees): 4.153 4.153 4.153 60.00 60.00 60.00
Fractional coordinates of all 4 atoms:
Fe: 0.000 0.000 0.000
Fe: 0.250 0.250 0.250
Li: 0.500 0.500 0.500
Se: 0.750 0.750 0.750

Computed properties:
- uncorrected energy (eV/atom) = -5.5441

=====

VASP calculation (PBE-GGA) on a geometry-optimized Zn2CrIn structure.

Lattice parameters (Å, degrees): 3.173 3.765 5.834 90.00 90.00 90.00
Fractional coordinates of all 4 atoms:
Cr: 0.500 0.500 0.250
In: 0.500 0.500 0.750
Zn: 0.000 0.000 0.029
Zn: 0.000 0.000 0.471

Computed properties:
- ΔH_f (0 K) (eV per atom) = 0.23

=====

VASP calculation (PBE-GGA) on a geometry-optimized Ac2ScSe2S2 structure.

Lattice parameters (Å, degrees): 4.850 4.850 8.625 106.33 106.33 90.00
Fractional coordinates of all 7 atoms:
Ac: 0.369 0.369 0.737
Ac: 0.631 0.631 0.263
Sc: 0.000 0.000 0.000
Se: 0.175 0.175 0.350
Se: 0.825 0.825 0.650
S: 0.000 0.500 0.000
S: 0.500 0.000 0.000

Computed properties:
- uncorrected energy (eV/atom) = -6.1998

=====

VASP calculation (PBE-GGA) on a geometry-optimized LaAlS2N structure.

Lattice parameters (Å, degrees): 5.637 5.637 4.341 90.00 90.00 90.00
Fractional coordinates of all 5 atoms:
S: 0.000 0.500 0.000
S: 0.500 0.000 0.000
N: 0.000 0.000 0.500
Al: 0.500 0.500 0.500
La: 0.000 0.000 0.000

Computed properties:
- excess energy over the best structure of this formula in the dataset (meV per atom) = 1329.0